# LiCd5Au3, optimized geometry, DFT PBE
# Density of states at the Fermi level ... 3.61 states/eV/cell
# Calculated formation energy ... -0.219 eV/atom
# Energy ... -2.032 eV/atom
data_LiCd5Au3
_chemical_formula_sum 'Li2 Cd10 Au6'
_cell_length_a 8.3920
_cell_length_b 8.3920
_cell_length_c 5.8927
_cell_angle_alpha 90.00
_cell_angle_beta 90.00
_cell_angle_gamma 120.00
_space_group_name_H-M_alt 'P 63/m c m'
_space_group_IT_number 193
_space_group_name_Hall '-P 6c 2'
loop_
_atom_site_label
_atom_site_fract_x
_atom_site_fract_y
_atom_site_fract_z
Li1 0.0000 0.0000 0.0000
Cd1 0.0000 0.3128 0.2500
Cd2 0.3333 0.6667 0.0000
Au1 0.0000 0.3468 0.7500